DFT (PBE) results for a geometry-optimized SrCu8Pd3 structure.

Properties
The space group is No. 156. The value obtained for the volume is 14.5 Å³/atom. For the formation energy, the calculation gives -0.070 eV per atom. The calculated total energy comes out at -4.239 eV per atom.

a b c (Å): 4.9607 4.9607 8.1866
angles (deg): 90.00 90.00 120.00
Element x y z (fractional)
Sr 0.0000 0.0000 0.5657
Cu 0.3333 0.6667 0.4973
Cu 0.3333 0.6667 0.0003
Cu 0.5028 0.0057 0.7675
Cu 0.5028 0.4972 0.7675
Cu 0.9943 0.4972 0.7675
Cu 0.1656 0.3313 0.2380
Cu 0.1656 0.8344 0.2380
Cu 0.6687 0.8344 0.2380
Pd 0.6667 0.3333 0.4058
Pd 0.6667 0.3333 0.0609
Pd 0.0000 0.0000 0.9534